(1)
This record from the Open Quantum Materials Database describes CoBr2 after structural relaxation. The functional is GGA-PBE.

abc: 3.7147 3.7147 12.7068
angles: 90.01 90.01 59.94
Last column: nearest neighbours and their distance in Å.
Atoms (fractional coordinates):
Br 0.5000 0.5000 0.6126  3 Co 2.57-2.58
Br 0.1647 0.1647 0.8874  3 Co 2.57-2.58
Br 0.8353 0.8353 0.3874  3 Co 2.57-2.58
Br 0.5000 0.5000 0.1126  3 Co 2.57-2.58
Co 0.8323 0.8323 0.0000  6 Br 2.57-2.58
Co 0.1678 0.1678 0.5000  6 Br 2.57-2.58

Total magnetization: 3.00 μB per formula unit
Total DFT energy (no corrections): -0.2749 Ry/atom
Calculated density: 4.8 g cm⁻³

(2)
This record from the Open Quantum Materials Database describes Co2Br after structural relaxation. The functional is GGA-PBE.

abc: 3.0786 6.8290 4.0669
angles: 90.00 90.00 90.00
Last column: nearest neighbours and their distance in Å.
Atoms (fractional coordinates):
Br 0.0000 0.5000 0.5000  6 Co 2.43
Br 0.5000 0.0000 0.0000  6 Co 2.43
Co 0.7358 0.8354 0.5000  3 Br 2.43, 1 Co 2.68
Co 0.2642 0.1646 0.5000  3 Br 2.43, 1 Co 2.68
Co 0.7642 0.3354 0.0000  3 Br 2.43, 1 Co 2.68
Co 0.2358 0.6646 0.0000  3 Br 2.43, 1 Co 2.68

E above lowest polymorph: 0.000 eV per atom
Total magnetization: 3.10 μB per formula unit
Total DFT energy (no corrections): -0.3298 Ry/atom
Calculated density: 7.7 g cm⁻³

(3)
This record from the Open Quantum Materials Database describes CoBr2 after structural relaxation. The functional is GGA-PBE.

abc: 3.7126 3.7126 12.9018
angles: 90.00 90.00 120.00
Last column: nearest neighbours and their distance in Å.
Atoms (fractional coordinates):
Co 0.3333 0.6667 0.3751  6 Br 2.58
Co 0.6667 0.3333 0.8751  6 Br 2.58
Br 0.0000 0.0000 0.7639  3 Co 2.58
Br 0.0000 0.0000 0.2639  3 Co 2.58
Br 0.3333 0.6667 0.9860  3 Co 2.58
Br 0.6667 0.3333 0.4860  3 Co 2.58

Total magnetization: 3.00 μB per formula unit
Total DFT energy (no corrections): -0.2750 Ry/atom
Calculated density: 4.7 g cm⁻³

(4)
This record from the Open Quantum Materials Database describes CoBr2 after structural relaxation. The functional is GGA-PBE.

abc: 5.7216 6.1675 3.8406
angles: 90.00 90.00 90.00
Last column: nearest neighbours and their distance in Å.
Atoms (fractional coordinates):
Co 0.0000 0.0000 0.0000  6 Br 2.55-2.57
Co 0.5000 0.5000 0.5000  6 Br 2.55-2.57
Br 0.7328 0.3353 0.0000  3 Co 2.55-2.57
Br 0.2328 0.1647 0.5000  3 Co 2.55-2.57
Br 0.2672 0.6647 0.0000  3 Co 2.55-2.57
Br 0.7672 0.8353 0.5000  3 Co 2.55-2.57

Total magnetization: 2.94 μB per formula unit
Total DFT energy (no corrections): -0.2689 Ry/atom
Calculated density: 5.4 g cm⁻³

(5)
This record from the Open Quantum Materials Database describes CoBr2 after structural relaxation. The functional is GGA-PBE.

abc: 3.7181 3.7181 6.0244
angles: 90.00 90.00 120.00
Last column: nearest neighbours and their distance in Å.
Atoms (fractional coordinates):
Br 0.6667 0.3333 0.7645  3 Co 2.57
Br 0.3333 0.6667 0.2355  3 Co 2.57
Co 0.0000 0.0000 0.0000  6 Br 2.57

Total magnetization: 3.00 μB per formula unit
Total DFT energy (no corrections): -0.2741 Ry/atom
Calculated density: 5.0 g cm⁻³

(6)
This record from the Open Quantum Materials Database describes CoBr2 after structural relaxation. The functional is GGA-PBE.

abc: 6.0250 6.0250 3.8759
angles: 90.00 90.00 90.00
Last column: nearest neighbours and their distance in Å.
Atoms (fractional coordinates):
Br 0.1952 0.8048 0.5000  3 Co 2.55-2.60
Br 0.6952 0.6952 0.0000  3 Co 2.55-2.60
Br 0.8048 0.1952 0.5000  3 Co 2.55-2.60
Br 0.3048 0.3048 0.0000  3 Co 2.55-2.60
Co 0.0000 0.0000 0.0000  6 Br 2.55-2.60
Co 0.5000 0.5000 0.5000  6 Br 2.55-2.60

Total magnetization: 2.93 μB per formula unit
Total DFT energy (no corrections): -0.2691 Ry/atom
Calculated density: 5.2 g cm⁻³

(7)
This record from the Open Quantum Materials Database describes CoBr2 after structural relaxation. The functional is GGA-PBE.

abc: 7.4752 7.4752 7.4752
angles: 60.00 60.00 60.00
Last column: nearest neighbours and their distance in Å.
Atoms (fractional coordinates):
Br 0.3750 0.3750 0.8750  2 Co 2.29
Br 0.3750 0.8750 0.3750  2 Co 2.29
Br 0.8750 0.3750 0.3750  2 Co 2.29
Br 0.3750 0.3750 0.3750  2 Co 2.29
Co 0.2500 0.2500 0.2500  4 Br 2.29
Co 0.5000 0.5000 0.5000  4 Br 2.29

Total magnetization: 0.00 μB per formula unit
Total DFT energy (no corrections): -0.2536 Ry/atom
Calculated density: 2.5 g cm⁻³

(8)
This record from the Open Quantum Materials Database describes Co3Br2 after structural relaxation. The functional is GGA-PBE.

abc: 6.2189 6.2189 6.0906
angles: 120.70 59.30 120.00
Last column: nearest neighbours and their distance in Å.
Atoms (fractional coordinates):
Co 0.0236 0.5236 0.2500  2 Co 2.44, 4 Br 2.50-2.54
Co 0.2500 0.9764 0.2500  2 Co 2.44, 4 Br 2.50-2.54
Co 0.5236 0.2500 0.7500  2 Co 2.44, 4 Br 2.50-2.54
Co 0.4764 0.7500 0.2500  2 Co 2.44, 4 Br 2.50-2.54
Co 0.7500 0.0236 0.7500  2 Co 2.44, 4 Br 2.50-2.54
Co 0.9764 0.4764 0.7500  2 Co 2.44, 4 Br 2.50-2.54
Br 0.8936 0.1064 0.3192  6 Co 2.50-2.54
Br 0.3936 0.6064 0.8192  6 Co 2.50-2.54
Br 0.1064 0.8936 0.6808  6 Co 2.50-2.54
Br 0.6064 0.3936 0.1808  6 Co 2.50-2.54

Total magnetization: 5.07 μB per formula unit
Total DFT energy (no corrections): -0.3110 Ry/atom
Calculated density: 6.8 g cm⁻³

(9)
This record from the Open Quantum Materials Database describes CoBr2 after structural relaxation. The functional is GGA-PBE.

abc: 3.6273 6.1908 13.2772
angles: 90.00 90.00 90.00
Last column: nearest neighbours and their distance in Å.
Atoms (fractional coordinates):
Co 0.5000 0.5849 0.0049  6 Br 2.46-2.68
Co 0.5000 0.9785 0.5025  6 Br 2.47-2.68
Co 0.0000 0.4151 0.5049  6 Br 2.46-2.68
Co 0.0000 0.0215 0.0025  6 Br 2.47-2.68
Br 0.5000 0.2854 0.3842  3 Co 2.47-2.55
Br 0.0000 0.7844 0.3996  3 Co 2.57-2.68
Br 0.5000 0.6089 0.6079  3 Co 2.57-2.68
Br 0.0000 0.3911 0.1079  3 Co 2.57-2.68
Br 0.0000 0.1083 0.6232  3 Co 2.46-2.55
Br 0.5000 0.2156 0.8996  3 Co 2.57-2.68
Br 0.0000 0.7146 0.8842  3 Co 2.47-2.55
Br 0.5000 0.8917 0.1232  3 Co 2.46-2.55

Total magnetization: 3.00 μB per formula unit
Total DFT energy (no corrections): -0.2751 Ry/atom
Calculated density: 4.9 g cm⁻³

(10)
This record from the Open Quantum Materials Database describes Co2Br after structural relaxation. The functional is GGA-PBE.

abc: 5.0722 5.0722 5.0722
angles: 60.00 60.00 60.00
Last column: nearest neighbours and their distance in Å.
Atoms (fractional coordinates):
Co 0.1250 0.6250 0.6250  6 Co 2.54
Co 0.6250 0.6250 0.6250  6 Co 2.54
Co 0.6250 0.1250 0.6250  6 Co 2.54
Co 0.6250 0.6250 0.1250  6 Co 2.54
Br 0.2500 0.2500 0.2500  12 Co 2.97, 4 Br 3.11
Br 0.0000 0.0000 0.0000  12 Co 2.97, 4 Br 3.11

E above lowest polymorph: 0.043 eV per atom
Total magnetization: 4.47 μB per formula unit
Total DFT energy (no corrections): -0.3266 Ry/atom
Calculated density: 7.1 g cm⁻³

(11)
This record from the Open Quantum Materials Database describes CoBr2 after structural relaxation. The functional is GGA-PBE.

abc: 6.1277 6.1277 6.1277
angles: 60.00 60.00 60.00
Last column: nearest neighbours and their distance in Å.
Atoms (fractional coordinates):
Co 0.0000 0.0000 0.0000  12 Br 3.59, 4 Co 3.75
Co 0.2500 0.2500 0.2500  12 Br 3.59, 4 Co 3.75
Br 0.6250 0.6250 0.6250  6 Br 3.06
Br 0.6250 0.6250 0.1250  6 Br 3.06
Br 0.6250 0.1250 0.6250  6 Br 3.06
Br 0.1250 0.6250 0.6250  6 Br 3.06

Total magnetization: 1.87 μB per formula unit
Total DFT energy (no corrections): -0.1434 Ry/atom
Calculated density: 4.5 g cm⁻³

(12)
This record from the Open Quantum Materials Database describes Co2Br after structural relaxation. The functional is GGA-PBE.

abc: 7.2568 7.2568 7.2568
angles: 60.00 60.00 60.00
Last column: nearest neighbours and their distance in Å.
Atoms (fractional coordinates):
Co 0.8750 0.3750 0.3750  2 Br 2.22
Co 0.3750 0.8750 0.3750  2 Br 2.22
Co 0.3750 0.3750 0.8750  2 Br 2.22
Co 0.3750 0.3750 0.3750  2 Br 2.22
Br 0.2500 0.2500 0.2500  4 Co 2.22
Br 0.5000 0.5000 0.5000  4 Co 2.22

E above lowest polymorph: 0.824 eV per atom
Total magnetization: 3.00 μB per formula unit
Total DFT energy (no corrections): -0.2692 Ry/atom
Calculated density: 2.4 g cm⁻³